Compound: LaPmScZn
Source: Alexandria via LeMat-Bulk
Functional: GGA-PBE
Structure: optimized geometry

Unit cell a=7.5972 b=7.5972 c=7.5972 alpha=90.00 beta=90.00 gamma=90.00
Closest atoms and distances in Å follow each position.
Space group F-43m (No. 216)
Symmetry-distinct sites (fractional):
La: 0.0000 0.0000 0.0000  4 Sc 3.29, 4 Zn 3.29
Pm: 0.0000 0.0000 0.5000  4 Zn 3.29, 4 Sc 3.29
Sc: 0.2500 0.2500 0.2500  4 Pm 3.29, 4 La 3.29
Zn: 0.2500 0.2500 0.7500  4 La 3.29, 4 Pm 3.29

Properties
polymorph energy (0 for the lowest one): 115.0 meV per atom
V: 27.4 A^3/atom
raw total energy: -4.34 eV per atom
energy of formation: -0.1 eV per formula unit